VASP calculation (GGA-PBE) on BaNaGaPb2 after structural relaxation.

Properties
space-group type = P4/mmm
E_form = 1.132 eV/atom
mass density = 2.3 g cm⁻³
VASP energy = -8.02 eV per cell
spin magnetization = 1.39 μB per cell

a = 7.757 Å, b = 7.677 Å, c = 7.757 Å
α = 90.00°, β = 90.00°, γ = 90.00°
Each line ends with the local moment (μB).
Fractional coordinates of all 5 atoms:
Pb (0.000, 0.000, 0.500)  0.21
Pb (0.500, 0.000, 0.000)  0.17
Na (0.000, 0.500, 0.000)  -0.01
Ba (0.000, 0.000, 0.000)  0.05
Ga (0.500, 0.500, 0.500)  0.00

---

VASP calculation (GGA-PBE) on Ca3InHg3 after structural relaxation.

Properties
space-group type = P6_3/m
E_form = -0.390 eV/atom
mass density = 7.1 g cm⁻³
VASP energy = -24.75 eV per cell
spin magnetization = 0.00 μB per cell

a = 5.425 Å, b = 9.139 Å, c = 9.139 Å
α = 120.00°, β = 90.00°, γ = 90.00°
Fractional coordinates of all 14 atoms:
Ca (0.750, 0.649, 0.559)
Ca (0.750, 0.441, 0.091)
Ca (0.750, 0.909, 0.351)
Ca (0.250, 0.351, 0.441)
Ca (0.250, 0.559, 0.909)
Ca (0.250, 0.091, 0.649)
In (0.250, 0.667, 0.333)
In (0.750, 0.333, 0.667)
Hg (0.250, 0.802, 0.763)
Hg (0.250, 0.237, 0.039)
Hg (0.250, 0.961, 0.198)
Hg (0.750, 0.198, 0.237)
Hg (0.750, 0.763, 0.961)
Hg (0.750, 0.039, 0.802)

---

VASP calculation (GGA-PBE) on Rb after structural relaxation.

Properties
space-group type = C222_1
E_form = 0.028 eV/atom
mass density = 1.5 g cm⁻³
VASP energy = -24.43 eV per cell
spin magnetization = 0.00 μB per cell

a = 9.294 Å, b = 9.294 Å, c = 31.065 Å
α = 90.00°, β = 90.00°, γ = 117.37°
Fractional coordinates of all 26 atoms:
Rb (0.876, 0.124, 0.750)
Rb (0.124, 0.876, 0.250)
Rb (0.375, 0.124, 0.750)
Rb (0.625, 0.876, 0.250)
Rb (0.876, 0.625, 0.750)
Rb (0.124, 0.375, 0.250)
Rb (0.366, 0.615, 0.675)
Rb (0.634, 0.385, 0.175)
Rb (0.385, 0.634, 0.825)
Rb (0.615, 0.366, 0.325)
Rb (0.674, 0.360, 0.611)
Rb (0.326, 0.640, 0.111)
Rb (0.640, 0.326, 0.889)
Rb (0.360, 0.674, 0.389)
Rb (0.113, 0.923, 0.610)
Rb (0.887, 0.077, 0.110)
Rb (0.077, 0.887, 0.890)
Rb (0.923, 0.113, 0.390)
Rb (0.141, 0.398, 0.536)
Rb (0.859, 0.602, 0.036)
Rb (0.602, 0.859, 0.964)
Rb (0.398, 0.141, 0.464)
Rb (0.636, 0.878, 0.542)
Rb (0.364, 0.122, 0.042)
Rb (0.122, 0.364, 0.958)
Rb (0.878, 0.636, 0.458)

---

VASP calculation (GGA-PBE) on Fe2PW after structural relaxation.

Properties
space-group type = P4/mmm
E_form = -0.191 eV/atom
mass density = 11.6 g cm⁻³
VASP energy = -36.05 eV per cell
spin magnetization = 0.00 μB per cell

a = 2.694 Å, b = 2.694 Å, c = 6.448 Å
α = 90.00°, β = 90.00°, γ = 90.00°
Fractional coordinates of all 4 atoms:
Fe (0.000, 0.000, 0.048)
Fe (0.000, 0.000, 0.452)
P (0.500, 0.500, 0.250)
W (0.500, 0.500, 0.750)

---

VASP calculation (GGA-PBE) on CdNiIN2 after structural relaxation.

Properties
space-group type = P4/mmm
raw formation energy = 1260 meV/atom
mass density = 5.6 g cm⁻³
VASP energy = -18.60 eV per cell
spin magnetization = 3.82 μB per cell

a = 3.928 Å, b = 3.928 Å, c = 6.241 Å
α = 90.00°, β = 90.00°, γ = 90.00°
Each line ends with the local moment (μB).
Fractional coordinates of all 5 atoms:
I (0.000, 0.000, 0.500)  0.06
Ni (0.000, 0.000, 0.000)  0.81
N (0.000, 0.500, 0.000)  1.02
N (0.500, 0.000, 0.000)  1.02
Cd (0.500, 0.500, 0.500)  0.00

---

VASP calculation (GGA-PBE) on LiLaLuNi after structural relaxation.

Properties
space-group type = F-43m
E_form = -0.102 eV/atom
mass density = 7.1 g cm⁻³
VASP energy = -17.55 eV per cell
spin magnetization = 0.00 μB per cell

a = 5.003 Å, b = 5.003 Å, c = 5.003 Å
α = 60.00°, β = 60.00°, γ = 60.00°
Fractional coordinates of all 4 atoms:
Ni (0.250, 0.250, 0.250)
Lu (0.000, 0.000, 0.000)
La (0.500, 0.500, 0.500)
Li (0.750, 0.750, 0.750)

---

Which formula does entry 2 have?
Ca3InHg3